(1)
## BaZnOs4 (PBE)

Data for a relaxed structure of BaZnOs4.

Cell lengths 7.657, 7.657, 7.657 Å; angles 90.00, 90.00, 90.00 degrees
Space group F-43m (No. 216)
Symmetry-distinct sites (fractional):
1 Ba 0.000 0.000 0.000
2 Zn 0.250 0.250 0.250
3 Os 0.124 0.124 0.624

- N(E_F): 1.508 states/eV per atom
- ΔE_f: 0.8776 eV per atom
- Mass density: 14.3 g/cm³
- Magnetization: 6.7 μB per cell
- Raw total energy: -7.142 eV/atom

(2)
## Ba2ZnOs (PBE)

Data for a relaxed structure of Ba2ZnOs.

Cell lengths 8.649, 3.627, 8.719 Å; angles 90.00, 99.61, 90.00 degrees
Space group C2/m (No. 12)
Symmetry-distinct sites (fractional):
1 Ba 0.239 0.000 0.209
2 Zn 0.000 0.000 0.500
3 Os 0.000 0.500 0.000

- N(E_F): 0.621 states/eV per atom
- ΔE_f: 0.6929 eV per atom
- Mass density: 6.5 g/cm³
- Magnetization: 0.4 μB per cell
- Raw total energy: -3.394 eV/atom

(3)
## BaZnOs2 (PBE)

Data for a relaxed structure of BaZnOs2.

Cell lengths 2.882, 5.034, 10.433 Å; angles 90.00, 90.00, 90.00 degrees
Space group Immm (No. 71)
Symmetry-distinct sites (fractional):
1 Ba 0.000 0.000 0.000
2 Zn 0.000 0.000 0.500
3 Os 0.000 0.500 0.217

- N(E_F): 1.234 states/eV per atom
- ΔE_f: 1.0204 eV per atom
- Mass density: 12.8 g/cm³
- Magnetization: 0.0 μB per cell
- Raw total energy: -5.394 eV/atom